# ZnP2Au

Crystalline ZnP2Au at its relaxed geometry (PBE-GGA, Alexandria).

Cell lengths 11.032, 11.032, 11.032 Å; angles 14.19, 14.19, 14.19 degrees
Element x y z (fractional)
Zn1 0.000 0.000 0.000
P1 0.236 0.236 0.236
P2 0.508 0.508 0.508
Au1 0.746 0.746 0.746

As for the crystal system: trigonal. As for the density of states at the Fermi level: 0.59 states/eV/f.u. For the energy of formation, the calculation gives 387.4 meV per atom. Its space-group type is No. 160.